Entry 1:
A plane-wave DFT calculation with PBE was carried out for crystalline Nd12Co6Ag at its relaxed geometry.

```
Nd12Co6Ag
1.0
8.151 0.000 -2.882
-4.076 7.059 -2.882
0.000 0.000 8.645
Ag Co Nd
1 6 12
Direct
0.000 0.000 0.000
0.888 0.388 0.500
0.388 0.500 0.888
0.112 0.612 0.500
0.612 0.500 0.112
0.500 0.112 0.612
0.500 0.888 0.388
0.806 0.694 0.501
0.306 0.499 0.194
0.806 0.306 0.112
0.694 0.501 0.806
0.888 0.194 0.694
0.501 0.806 0.694
0.306 0.112 0.806
0.112 0.806 0.306
0.694 0.888 0.194
0.499 0.194 0.306
0.194 0.694 0.888
0.194 0.306 0.499
```

Computed properties:
M_tot = 0.0 μB per formula unit
calculated formation energy = -0.101 eV/atom
space group = Im-3, No. 204

Entry 2:
A plane-wave DFT calculation with PBE was carried out for crystalline Nd4Co2Ag5 at its relaxed geometry.

```
Nd4Co2Ag5
1.0
3.881 0.000 0.000
0.000 7.423 -0.682
0.000 0.106 8.772
Co Nd Ag
2 4 5
Direct
0.000 0.060 0.626
0.000 0.940 0.374
0.500 0.192 0.843
0.500 0.230 0.419
0.500 0.770 0.581
0.500 0.808 0.157
0.000 0.842 0.867
0.000 0.158 0.133
0.000 0.555 0.335
0.000 0.445 0.665
0.000 0.500 0.000
```

Computed properties:
M_tot = 0.1 μB per formula unit
calculated formation energy = -0.175 eV/atom
space group = P2/m, No. 10

Entry 3:
A plane-wave DFT calculation with PBE was carried out for crystalline Nd2Co2Ag at its relaxed geometry.

```
Nd2Co2Ag
1.0
-2.471 -3.054 0.648
3.037 -2.466 -0.043
-0.747 2.063 6.881
Co Nd Ag
2 2 1
Direct
0.000 0.210 0.420
0.000 0.790 0.580
0.500 0.633 0.267
0.500 0.367 0.733
0.000 0.000 0.000
```

Computed properties:
M_tot = 1.5 μB per formula unit
calculated formation energy = -0.146 eV/atom
space group = Cmmm, No. 65

Entry 4:
A plane-wave DFT calculation with PBE was carried out for crystalline Nd3CoAg at its relaxed geometry.

```
Nd3CoAg
1.0
-2.464 -3.592 -4.421
3.618 -4.402 -2.460
-2.019 -7.928 2.992
Nd Co Ag
6 2 2
Direct
0.704 0.704 0.675
0.315 0.315 0.868
0.022 0.022 0.785
0.296 0.296 0.325
0.685 0.685 0.132
0.978 0.978 0.215
0.681 0.319 0.000
0.319 0.681 0.000
0.720 0.280 0.500
0.280 0.720 0.500
```

Computed properties:
M_tot = 0.0 μB per formula unit
calculated formation energy = -0.121 eV/atom
excess energy over the best structure of this formula in the dataset = 2.4 kJ/mol of formula units
space group = C2/m, No. 12

Entry 5:
A plane-wave DFT calculation with PBE was carried out for crystalline Nd6CoAg3 at its relaxed geometry.

```
Nd6CoAg3
1.0
7.336 0.000 0.547
0.000 7.928 0.000
0.930 0.000 10.340
Ag Nd Co
6 12 2
Direct
0.442 0.118 0.234
0.000 0.000 0.500
0.558 0.882 0.766
0.058 0.618 0.266
0.942 0.382 0.734
0.500 0.500 0.000
0.693 0.159 0.944
0.333 0.544 0.746
0.136 0.306 0.070
0.364 0.806 0.430
0.807 0.659 0.556
0.636 0.194 0.570
0.167 0.044 0.754
0.864 0.694 0.930
0.667 0.456 0.254
0.307 0.841 0.056
0.193 0.341 0.444
0.833 0.956 0.246
0.000 0.000 0.000
0.500 0.500 0.500
```

Computed properties:
M_tot = 0.0 μB per formula unit
calculated formation energy = -0.078 eV/atom
space group = P2_1/c, No. 14

Entry 6:
A plane-wave DFT calculation with PBE was carried out for crystalline Nd12CoAg6 at its relaxed geometry.

```
Nd12CoAg6
1.0
-4.932 -1.223 6.574
-2.913 -6.620 -4.090
6.363 -4.185 3.322
Nd Ag Co
12 6 1
Direct
0.313 0.968 0.084
0.032 0.916 0.687
0.426 0.541 0.195
0.541 0.195 0.426
0.195 0.426 0.541
0.968 0.084 0.313
0.916 0.687 0.032
0.687 0.032 0.916
0.805 0.574 0.459
0.574 0.459 0.805
0.459 0.805 0.574
0.084 0.313 0.968
0.652 0.856 0.259
0.348 0.144 0.741
0.856 0.259 0.652
0.144 0.741 0.348
0.259 0.652 0.856
0.741 0.348 0.144
0.000 0.000 0.000
```

Computed properties:
M_tot = 0.0 μB per formula unit
calculated formation energy = -0.069 eV/atom
space group = R-3, No. 148